# MnPbBr4

Crystalline MnPbBr4 at its relaxed geometry (PBE, Alexandria via LeMat-Bulk).

Cell: 6.4019 6.4019 6.4019 Å, 60.00 60.00 60.00°
Site moments in Bohr magnetons follow the coordinates.
Atoms (fractional coordinates):
1 Pb 0.0000 0.0000 0.0000  -0.04
2 Mn 0.7500 0.7500 0.7500  4.69
3 Br 0.3755 0.8735 0.3755  0.37
4 Br 0.3755 0.3755 0.8735  0.37
5 Br 0.3755 0.3755 0.3755  0.37
6 Br 0.8735 0.3755 0.3755  0.37

total moment = 7.041 μB per cell
formation energy from raw total energies = 530 meV/atom
E above lowest polymorph = 786 kJ/mol of formula units

=====

# La3Pm5Dy2

Crystalline La3Pm5Dy2 at its relaxed geometry (PBE, Alexandria via LeMat-Bulk).

Cell: 10.0731 9.9989 11.2725 Å, 128.25 128.40 66.85°
Atoms (fractional coordinates):
1 Pm 0.3868 0.1283 0.7423
2 Pm 0.9825 0.2325 0.4649
3 Pm 0.1445 0.3861 0.2577
4 Pm 0.2701 0.5201 0.0402
5 Pm 0.5265 0.2765 0.5531
6 Pm 0.0175 0.7675 0.5351
7 Pm 0.8555 0.6139 0.7423
8 Pm 0.4735 0.7235 0.4469
9 Pm 0.6132 0.8717 0.2577
10 Pm 0.7299 0.4799 0.9598
11 La 0.9775 0.2201 0.7528
12 La 0.2263 0.9763 0.9526
13 La 0.7737 0.0237 0.0474
14 La 0.2754 0.5327 0.7528
15 La 0.0225 0.7799 0.2472
16 La 0.7246 0.4673 0.2472
17 Dy 0.2226 0.9823 0.2554
18 Dy 0.7774 0.0177 0.7446
19 Dy 0.4672 0.7270 0.7446
20 Dy 0.5328 0.2730 0.2554

total moment = 0.000 μB per cell
ΔE_f = 1.72 eV per formula unit

=====

> Look up the total moment of the first one.

7.041 μB per cell

=====

Repeat the second record exactly.
# La3Pm5Dy2

Crystalline La3Pm5Dy2 at its relaxed geometry (PBE, Alexandria via LeMat-Bulk).

Cell: 10.0731 9.9989 11.2725 Å, 128.25 128.40 66.85°
Atoms (fractional coordinates):
1 Pm 0.3868 0.1283 0.7423
2 Pm 0.9825 0.2325 0.4649
3 Pm 0.1445 0.3861 0.2577
4 Pm 0.2701 0.5201 0.0402
5 Pm 0.5265 0.2765 0.5531
6 Pm 0.0175 0.7675 0.5351
7 Pm 0.8555 0.6139 0.7423
8 Pm 0.4735 0.7235 0.4469
9 Pm 0.6132 0.8717 0.2577
10 Pm 0.7299 0.4799 0.9598
11 La 0.9775 0.2201 0.7528
12 La 0.2263 0.9763 0.9526
13 La 0.7737 0.0237 0.0474
14 La 0.2754 0.5327 0.7528
15 La 0.0225 0.7799 0.2472
16 La 0.7246 0.4673 0.2472
17 Dy 0.2226 0.9823 0.2554
18 Dy 0.7774 0.0177 0.7446
19 Dy 0.4672 0.7270 0.7446
20 Dy 0.5328 0.2730 0.2554

total moment = 0.000 μB per cell
ΔE_f = 1.72 eV per formula unit

=====

> What is the total moment in the first record?

7.041 μB per cell

=====

> Look up the total moment of the first one.

7.041 μB per cell